# 1
PBE Ce2FeGe4Pt3, optimized geometry; total moment = 2.91 Bohr magnetons per cell; uncorrected energy = -64.8 eV per cell; SG = P-4m2
1.0
4.308 0.000 0.000
0.000 4.308 0.000
0.000 0.000 10.104
Ce Fe Ge Pt
2 1 4 3
Cartesian
0.000 2.154 2.490
2.154 0.000 7.615
2.154 2.154 0.000
0.000 0.000 5.052
0.000 2.154 8.841
2.154 0.000 1.263
2.154 2.154 5.052
0.000 0.000 0.000
0.000 2.154 6.366
2.154 0.000 3.739


# 2
PBE Al2InCuTe4, optimized geometry; total moment = 0.00 Bohr magnetons per cell; SG = Fmm2; energy relative to the elements, uncorrected = -176.0 meV per atom
1.0
0.000 4.733 6.362
4.343 0.000 6.362
4.343 4.733 0.000
Al In Cu Te
2 1 1 4
Cartesian
2.171 2.366 0.000
2.171 2.366 6.362
4.343 4.733 3.465
4.343 4.733 9.345
4.343 1.910 4.804
6.374 4.733 7.752
4.343 7.556 4.804
2.312 4.733 7.752


# 3
PBE LiOs2Br, optimized geometry; total moment = 0.00 Bohr magnetons per cell; SG = P4/mmm; energy relative to the elements, uncorrected = 1110.7 meV per atom
1.0
3.152 0.000 0.000
0.000 3.152 0.000
0.000 0.000 6.432
Li Os Br
1 2 1
Cartesian
0.000 0.000 0.000
1.576 1.576 1.145
1.576 1.576 5.287
0.000 0.000 3.216


# 4
PBE KNi2Hg, optimized geometry; total moment = 0.49 Bohr magnetons per cell; uncorrected energy = -9.8 eV per cell; SG = F-43m
1.0
0.000 3.394 3.394
3.394 0.000 3.394
3.394 3.394 0.000
K Ni Hg
1 2 1
Cartesian
0.000 0.000 0.000
3.394 3.394 3.394
5.091 5.091 5.091
1.697 1.697 1.697


# 5
PBE TlCdBi2, optimized geometry; total moment = 0.00 Bohr magnetons per cell; uncorrected energy = -10.5 eV per cell; SG = R-3m
1.0
2.102 1.213 8.253
-2.102 1.213 8.253
0.000 -2.427 8.253
Tl Cd Bi
1 1 2
Cartesian
0.000 0.000 0.000
0.000 0.000 12.379
0.000 0.000 5.997
0.000 0.000 18.761


# 6
PBE Ca2AsBr, optimized geometry; total moment = 0.00 Bohr magnetons per cell; SG = Amm2; energy relative to the elements, uncorrected = -1312.5 meV per atom
1.0
4.658 0.000 0.000
0.000 1.981 5.777
0.000 -1.981 5.777
Ca As Br
2 1 1
Cartesian
0.000 0.000 0.000
2.329 0.000 2.842
2.329 0.000 5.913
0.000 0.000 8.711


# 7
PBE LaSmThTl, optimized geometry; total moment = 0.00 Bohr magnetons per cell; uncorrected energy = -19.3 eV per cell; SG = F-43m
1.0
0.000 3.969 3.969
3.969 0.000 3.969
3.969 3.969 0.000
La Sm Th Tl
1 1 1 1
Cartesian
0.000 0.000 0.000
3.969 3.969 3.969
5.953 5.953 5.953
1.984 1.984 1.984


# 8
PBE AcPmHo, optimized geometry; total moment = 0.00 Bohr magnetons per cell; uncorrected energy = -26.0 eV per cell; SG = P6_3mc
1.0
3.683 0.000 0.000
-1.841 3.189 0.000
0.000 0.000 19.010
Ac Pm Ho
2 2 2
Cartesian
0.000 2.126 0.000
1.841 1.063 9.505
0.000 0.000 3.163
0.000 0.000 12.668
0.000 2.126 15.477
1.841 1.063 5.972